Entry 1:
A plane-wave DFT calculation with PBE was carried out for a relaxed Ti4Al2Re3 crystal.

Lattice parameters (Å, degrees): 4.4462 4.4462 8.0880 90.00 90.00 120.00
Closest atoms and distances in Å follow each position.
Element x y z (fractional)
Ti: 0.0000 0.0000 0.1701  4 Re 2.67-2.71, 3 Al 2.69, 1 Ti 2.75
Ti: 0.0000 0.0000 0.8299  4 Re 2.67-2.71, 3 Al 2.69, 1 Ti 2.75
Ti: 0.3333 0.6667 0.3877  4 Re 2.63-2.72, 4 Al 2.74-2.77
Ti: 0.6667 0.3333 0.6123  4 Re 2.63-2.72, 4 Al 2.74-2.77
Al: 0.3333 0.6667 0.7302  1 Re 2.69, 7 Ti 2.69-2.77
Al: 0.6667 0.3333 0.2698  1 Re 2.69, 7 Ti 2.69-2.77
Re: 0.0000 0.0000 0.5000  8 Ti 2.67-2.72
Re: 0.3333 0.6667 0.0627  4 Ti 2.63-2.71, 1 Al 2.69, 3 Re 2.76
Re: 0.6667 0.3333 0.9373  4 Ti 2.63-2.71, 1 Al 2.69, 3 Re 2.76

The space group is P-3m1 (164). The magnetization is 0.00 μB per cell. The formation enthalpy at 0 K comes out at -375 meV/atom.

***

Entry 2:
A plane-wave DFT calculation with PBE was carried out for a relaxed KTmBi2 crystal.

Lattice parameters (Å, degrees): 8.2237 8.2237 8.2237 33.97 33.97 33.97
Closest atoms and distances in Å follow each position.
Element x y z (fractional)
K: 0.0000 0.0000 0.0000  6 Bi 3.69
Tm: 0.5000 0.5000 0.5000  6 Bi 3.12
Bi: 0.2285 0.2285 0.2285  3 Tm 3.12
Bi: 0.7715 0.7715 0.7715  3 Tm 3.12

The space group is R-3m (166). The magnetization is 0.00 μB per cell. The formation enthalpy at 0 K comes out at -353 meV/atom.

***

Entry 3:
A plane-wave DFT calculation with PBE was carried out for a relaxed Ba2TlTc crystal.

Lattice parameters (Å, degrees): 4.3520 4.3520 10.0854 96.91 96.91 48.95
Closest atoms and distances in Å follow each position.
Element x y z (fractional)
Ba: 0.2430 0.2430 0.2137  3 Tc 3.15-3.24
Ba: 0.7570 0.7570 0.7863  3 Tc 3.15-3.24
Tl: 0.0000 0.0000 0.5000  2 Tl 3.61, 6 Ba 3.68-3.77
Tc: 0.5000 0.5000 0.0000  6 Ba 3.15-3.24

The space group is C2/m (12). The magnetization is 1.90 μB per cell. The formation enthalpy at 0 K comes out at 671 meV/atom.

***

Entry 4:
A plane-wave DFT calculation with PBE was carried out for a relaxed Al2PbBr crystal.

Lattice parameters (Å, degrees): 3.2668 3.2668 9.2930 90.00 90.00 90.00
Closest atoms and distances in Å follow each position.
Element x y z (fractional)
Al: 0.0000 0.0000 0.0000  4 Al 2.89
Al: 0.5000 0.5000 0.1868  4 Al 2.89, 4 Br 2.91
Pb: 0.5000 0.5000 0.7534  4 Al 3.25, 4 Pb 3.27
Br: 0.0000 0.0000 0.3769  4 Al 2.91

The space group is P4mm (99). The magnetization is 0.00 μB per cell. The value obtained for the formation energy without anion corrections is 0.016 eV/atom.

***

Entry 5:
A plane-wave DFT calculation with PBE was carried out for a relaxed Tm2CdTcC crystal.

Lattice parameters (Å, degrees): 4.9020 4.9020 4.0069 90.00 90.00 90.00
Closest atoms and distances in Å follow each position.
Element x y z (fractional)
Tm: 0.0000 0.5000 0.0000  2 C 2.45
Tm: 0.5000 0.0000 0.0000  2 C 2.45
Cd: 0.0000 0.0000 0.5000  8 Tm 3.17, 4 Tc 3.47
Tc: 0.5000 0.5000 0.5000  2 C 2.00
C: 0.5000 0.5000 0.0000  2 Tc 2.00

The space group is P4/mmm (123). The magnetization is 0.00 μB per cell. The formation enthalpy at 0 K comes out at -343 meV/atom.

***

Entry 6:
A plane-wave DFT calculation with PBE was carried out for a relaxed Tl3In12Sn5 crystal.

Lattice parameters (Å, degrees): 15.1560 15.1560 15.1560 109.47 109.47 109.47
Closest atoms and distances in Å follow each position.
Element x y z (fractional)
Tl: 0.1250 0.2500 0.3750  8 In 3.04-3.37
Tl: 0.1250 0.3750 0.7500  8 In 3.04-3.37
Tl: 0.2500 0.3750 0.1250  8 In 3.04-3.37
Tl: 0.2500 0.8750 0.6250  8 In 3.04-3.37
Tl: 0.3750 0.1250 0.2500  8 In 3.04-3.37
Tl: 0.3750 0.7500 0.1250  8 In 3.04-3.37
Tl: 0.6250 0.2500 0.8750  8 In 3.04-3.37
Tl: 0.6250 0.8750 0.7500  8 In 3.04-3.37
Tl: 0.7500 0.1250 0.3750  8 In 3.04-3.37
Tl: 0.7500 0.6250 0.8750  8 In 3.04-3.37
Tl: 0.8750 0.6250 0.2500  8 In 3.04-3.37
Tl: 0.8750 0.7500 0.6250  8 In 3.04-3.37
In: 0.0602 0.2303 0.1315  2 Sn 2.89-3.00, 1 Tl 3.04
In: 0.0602 0.3299 0.9287  2 Sn 2.89-3.00, 1 Tl 3.04
In: 0.0713 0.6315 0.4012  2 Sn 2.89-3.00, 1 Tl 3.04
In: 0.0713 0.9398 0.6701  2 Sn 2.89-3.00, 1 Tl 3.04
In: 0.0988 0.7303 0.6701  2 Sn 2.89-3.00, 1 Tl 3.04
In: 0.0988 0.8685 0.4287  2 Sn 2.89-3.00, 1 Tl 3.04
In: 0.1315 0.0602 0.2303  2 Sn 2.89-3.00, 1 Tl 3.04
In: 0.1315 0.5713 0.9012  2 Sn 2.89-3.00, 1 Tl 3.04
In: 0.1701 0.2303 0.5988  2 Sn 2.89-3.00, 1 Tl 3.04
In: 0.1701 0.4398 0.5713  2 Sn 2.89-3.00, 1 Tl 3.04
In: 0.2303 0.1315 0.0602  2 Sn 2.89-3.00, 1 Tl 3.04
In: 0.2303 0.5988 0.1701  2 Sn 2.89-3.00, 1 Tl 3.04
In: 0.2697 0.3299 0.9012  2 Sn 2.89-3.00, 1 Tl 3.04
In: 0.2697 0.4398 0.3685  2 Sn 2.89-3.00, 1 Tl 3.04
In: 0.3299 0.9012 0.2697  2 Sn 2.89-3.00, 1 Tl 3.04
In: 0.3299 0.9287 0.0602  2 Sn 2.89-3.00, 1 Tl 3.04
In: 0.3685 0.2697 0.4398  2 Sn 2.89-3.00, 1 Tl 3.04
In: 0.3685 0.5988 0.9287  2 Sn 2.89-3.00, 1 Tl 3.04
In: 0.4012 0.0713 0.6315  2 Sn 2.89-3.00, 1 Tl 3.04
In: 0.4012 0.8299 0.7697  2 Sn 2.89-3.00, 1 Tl 3.04
In: 0.4287 0.0988 0.8685  2 Sn 2.89-3.00, 1 Tl 3.04
In: 0.4287 0.8299 0.5602  2 Sn 2.89-3.00, 1 Tl 3.04
In: 0.4398 0.3685 0.2697  2 Sn 2.89-3.00, 1 Tl 3.04
In: 0.4398 0.5713 0.1701  2 Sn 2.89-3.00, 1 Tl 3.04
In: 0.5602 0.4287 0.8299  2 Sn 2.89-3.00, 1 Tl 3.04
In: 0.5602 0.6315 0.7303  2 Sn 2.89-3.00, 1 Tl 3.04
In: 0.5713 0.1701 0.4398  2 Sn 2.89-3.00, 1 Tl 3.04
In: 0.5713 0.9012 0.1315  2 Sn 2.89-3.00, 1 Tl 3.04
In: 0.5988 0.1701 0.2303  2 Sn 2.89-3.00, 1 Tl 3.04
In: 0.5988 0.9287 0.3685  2 Sn 2.89-3.00, 1 Tl 3.04
In: 0.6315 0.4012 0.0713  2 Sn 2.89-3.00, 1 Tl 3.04
In: 0.6315 0.7303 0.5602  2 Sn 2.89-3.00, 1 Tl 3.04
In: 0.6701 0.0713 0.9398  2 Sn 2.89-3.00, 1 Tl 3.04
In: 0.6701 0.0988 0.7303  2 Sn 2.89-3.00, 1 Tl 3.04
In: 0.7303 0.5602 0.6315  2 Sn 2.89-3.00, 1 Tl 3.04
In: 0.7303 0.6701 0.0988  2 Sn 2.89-3.00, 1 Tl 3.04
In: 0.7697 0.4012 0.8299  2 Sn 2.89-3.00, 1 Tl 3.04
In: 0.7697 0.8685 0.9398  2 Sn 2.89-3.00, 1 Tl 3.04
In: 0.8299 0.5602 0.4287  2 Sn 2.89-3.00, 1 Tl 3.04
In: 0.8299 0.7697 0.4012  2 Sn 2.89-3.00, 1 Tl 3.04
In: 0.8685 0.4287 0.0988  2 Sn 2.89-3.00, 1 Tl 3.04
In: 0.8685 0.9398 0.7697  2 Sn 2.89-3.00, 1 Tl 3.04
In: 0.9012 0.1315 0.5713  2 Sn 2.89-3.00, 1 Tl 3.04
In: 0.9012 0.2697 0.3299  2 Sn 2.89-3.00, 1 Tl 3.04
In: 0.9287 0.0602 0.3299  2 Sn 2.89-3.00, 1 Tl 3.04
In: 0.9287 0.3685 0.5988  2 Sn 2.89-3.00, 1 Tl 3.04
In: 0.9398 0.6701 0.0713  2 Sn 2.89-3.00, 1 Tl 3.04
In: 0.9398 0.7697 0.8685  2 Sn 2.89-3.00, 1 Tl 3.04
Sn: 0.0000 0.0000 0.0000  6 In 3.00
Sn: 0.0000 0.0000 0.5000  6 In 3.00
Sn: 0.0000 0.5000 0.0000  6 In 3.00
Sn: 0.0000 0.5000 0.5000  6 In 3.00
Sn: 0.1250 0.7500 0.8750  4 In 2.89
Sn: 0.1250 0.8750 0.2500  4 In 2.89
Sn: 0.2500 0.1250 0.8750  4 In 2.89
Sn: 0.2500 0.6250 0.3750  4 In 2.89
Sn: 0.3750 0.2500 0.6250  4 In 2.89
Sn: 0.3750 0.6250 0.7500  4 In 2.89
Sn: 0.5000 0.0000 0.0000  6 In 3.00
Sn: 0.5000 0.0000 0.5000  6 In 3.00
Sn: 0.5000 0.5000 0.0000  6 In 3.00
Sn: 0.5000 0.5000 0.5000  6 In 3.00
Sn: 0.6250 0.3750 0.2500  4 In 2.89
Sn: 0.6250 0.7500 0.3750  4 In 2.89
Sn: 0.7500 0.3750 0.6250  4 In 2.89
Sn: 0.7500 0.8750 0.1250  4 In 2.89
Sn: 0.8750 0.1250 0.7500  4 In 2.89
Sn: 0.8750 0.2500 0.1250  4 In 2.89

The space group is Ia-3d (230). The magnetization is 0.00 μB per cell. The formation enthalpy at 0 K comes out at 174 meV/atom.

***

Entry 7:
A plane-wave DFT calculation with PBE was carried out for a relaxed Y4Ni3Bi8 crystal.

Lattice parameters (Å, degrees): 4.5469 4.5469 18.7306 90.00 90.00 90.00
Closest atoms and distances in Å follow each position.
Element x y z (fractional)
Y: 0.0000 0.5000 0.1114  2 Ni 3.09, 9 Bi 3.31-3.44
Y: 0.0000 0.5000 0.6135  4 Ni 3.11, 8 Bi 3.29-3.44
Y: 0.5000 0.0000 0.3865  4 Ni 3.11, 8 Bi 3.29-3.44
Y: 0.5000 0.0000 0.8886  2 Ni 3.09, 9 Bi 3.31-3.44
Ni: 0.0000 0.0000 0.0000  4 Bi 2.63
Ni: 0.0000 0.0000 0.5000  4 Bi 2.68
Ni: 0.5000 0.5000 0.5000  4 Bi 2.68
Bi: 0.0000 0.0000 0.2489  4 Bi 3.22, 4 Y 3.43-3.44
Bi: 0.0000 0.0000 0.7511  4 Bi 3.22, 4 Y 3.43-3.44
Bi: 0.0000 0.5000 0.4243  4 Ni 2.68
Bi: 0.0000 0.5000 0.9296  2 Ni 2.63
Bi: 0.5000 0.0000 0.0704  2 Ni 2.63
Bi: 0.5000 0.0000 0.5757  4 Ni 2.68
Bi: 0.5000 0.5000 0.2491  4 Bi 3.22, 4 Y 3.43-3.44
Bi: 0.5000 0.5000 0.7509  4 Bi 3.22, 4 Y 3.43-3.44

The space group is P-4m2 (115). The magnetization is 0.00 μB per cell. The formation enthalpy at 0 K comes out at -493 meV/atom.

***

Entry 8:
A plane-wave DFT calculation with PBE was carried out for a relaxed UInBi crystal.

Lattice parameters (Å, degrees): 6.1886 6.1886 6.1886 143.61 143.61 52.41
Closest atoms and distances in Å follow each position.
Element x y z (fractional)
U: 0.0000 0.0000 0.0000  5 In 3.35-3.62, 5 Bi 3.36-3.60
In: 0.6743 0.6743 0.0000  4 Bi 3.20, 4 U 3.35
Bi: 0.3242 0.3242 0.0000  4 In 3.20, 4 U 3.36

The space group is I4mm (107). The magnetization is 3.69 μB per cell. The formation enthalpy at 0 K comes out at 258 meV/atom.

***

Question: Which of these has the highest magnetization?
Answer: UInBi

***

Question: Which value of magnetization does entry 5 give?
Answer: 0.00 μB per cell